Computed, not measured: a relaxed structure of Rb3MoO4 at the GGA+U level of DFT.

DOS at the Fermi energy = 0.009 states/eV per atom
crystal system = orthorhombic
energy above the most stable polymorph in this dataset = 38 meV/atom

Lattice parameters (Å, degrees): 6.5136 6.5136 6.5136 119.37 92.04 118.29
Positions (direct):
Rb1 0.0000 0.0000 0.0000
Rb2 0.2962 0.5271 0.7691
Rb3 0.7581 0.5271 0.2309
Mo1 0.5501 0.0501 0.5000
O1 0.2361 0.9192 0.3169
O2 0.6023 0.9192 0.6831
O3 0.6914 0.4361 0.7447
O4 0.6914 0.9466 0.2553